Record 1
This record from Alexandria via LeMat-Bulk describes a relaxed structure of PrSmSCl. The functional is PBE-GGA.

The structure belongs to space group Cm (No. 8); the cell edges are 6.784, 3.920 and 7.824 Å and the angles 90.00°, 106.74° and 90.00°. The distinct sites, in fractional coordinates, are Pr at (0.000, 0.000, 0.000), Sm at (0.308, 0.500, 0.424), S at (0.406, 0.000, 0.217) and Cl at (0.232, 0.000, 0.695).

The raw formation energy is -160 kJ/mol of atoms. The volume is 100 Å³/f.u. Its calculated total energy is -5.53 eV/atom.



Record 2
This record from Alexandria via LeMat-Bulk describes a relaxed structure of Pr3SnSCl. The functional is PBE-GGA.

The structure belongs to space group P2_1/m (No. 11); the cell edges are 8.171, 4.285 and 10.464 Å and the angles 90.00°, 109.66° and 90.00°. The distinct sites, in fractional coordinates, are Pr at (0.171, 0.250, 0.163), Pr at (0.300, 0.750, 0.507), Pr at (0.314, 0.750, 0.889), Sn at (0.487, 0.750, 0.258), S at (0.083, 0.250, 0.881) and Cl at (0.041, 0.250, 0.393).

The raw formation energy is -135 kJ/mol of atoms. The volume is 173 Å³/f.u. Its calculated total energy is -5.45 eV/atom.



Record 3
This record from Alexandria via LeMat-Bulk describes a relaxed structure of PrTmS2Cl. The functional is PBE-GGA.

The structure belongs to space group P4/nmm (No. 129, origin choice 2); the cell edges are 4.058, 4.058 and 13.524 Å and the angles 90.00°, 90.00° and 90.00°. The distinct sites, in fractional coordinates, are Pr at (0.250, 0.250, 0.156), Tm at (0.250, 0.250, 0.593), S at (0.250, 0.250, 0.390), S at (0.250, 0.250, 0.790) and Cl at (0.250, 0.750, 0.000).

The raw formation energy is -187 kJ/mol of atoms. The volume is 111 Å³/f.u. Its calculated total energy is -5.81 eV/atom.



Record 4
This record from Alexandria via LeMat-Bulk describes a relaxed structure of Pr4ZnS2Cl. The functional is PBE-GGA.

The structure belongs to space group P2/m (No. 10); the cell edges are 7.278, 4.086 and 7.280 Å and the angles 90.00°, 108.28° and 90.00°. The distinct sites, in fractional coordinates, are Pr at (0.235, 0.000, 0.230), Pr at (0.254, 0.500, 0.764), Zn at (0.000, 0.000, 0.500), S at (0.000, 0.500, 0.000), S at (0.500, 0.000, 0.000) and Cl at (0.500, 0.500, 0.500).

The raw formation energy is -139 kJ/mol of atoms. The volume is 206 Å³/f.u. Its calculated total energy is -5.25 eV/atom.



Record 5
This record from Alexandria via LeMat-Bulk describes a relaxed structure of Pr8ZnS3Cl4. The functional is PBE-GGA.

The structure belongs to space group R-3m (No. 166, hexagonal axes); the cell edges are 8.2694, 8.2694 and 21.0447 Å and the angles 90.00°, 90.00° and 120.00°. The distinct sites, in fractional coordinates, are Pr at (0.0000, 0.0000, 0.2374), Pr at (0.0064, 0.5032, 0.7596), Zn at (0.0000, 0.0000, 0.5000), S at (0.0000, 0.5000, 0.5000), Cl at (0.0000, 0.0000, 0.0000) and Cl at (0.0000, 0.5000, 0.0000).

The raw formation energy is -145 kJ/mol of atoms. The volume is 415 Å³/f.u. Its calculated total energy is -5.21 eV/atom.



Record 6
This record from Alexandria via LeMat-Bulk describes a relaxed structure of Pr2SbCl3. The functional is PBE-GGA.

The structure belongs to space group C2/m (No. 12); the cell edges are 16.301, 4.408 and 11.518 Å and the angles 90.00°, 109.31° and 90.00°. The distinct sites, in fractional coordinates, are Pr at (0.018, 0.000, 0.188), Pr at (0.236, 0.500, 0.837), Sb at (0.117, 0.500, 0.022), Cl at (0.032, 0.500, 0.339), Cl at (0.133, 0.000, 0.721) and Cl at (0.193, 0.000, 0.343).

The raw formation energy is -175 kJ/mol of atoms. The volume is 195 Å³/f.u. Its calculated total energy is -5.01 eV/atom.



Record 7
This record from Alexandria via LeMat-Bulk describes a relaxed structure of PrSmSbCl. The functional is PBE-GGA.

The structure belongs to space group F-43m (No. 216); the cell edges are 7.548, 7.548 and 7.548 Å and the angles 90.00°, 90.00° and 90.00°. The distinct sites, in fractional coordinates, are Pr at (0.000, 0.000, 0.000), Sm at (0.000, 0.000, 0.500), Sb at (0.250, 0.250, 0.750) and Cl at (0.250, 0.250, 0.250).

The raw formation energy is -116 kJ/mol of atoms. The volume is 108 Å³/f.u. Its calculated total energy is -5.07 eV/atom.



Record 8
This record from Alexandria via LeMat-Bulk describes a relaxed structure of Pr3SbTeCl. The functional is PBE-GGA.

The structure belongs to space group P2_1/m (No. 11); the cell edges are 8.901, 4.487 and 9.869 Å and the angles 90.00°, 100.65° and 90.00°. The distinct sites, in fractional coordinates, are Pr at (0.088, 0.250, 0.345), Pr at (0.240, 0.250, 0.994), Pr at (0.398, 0.750, 0.621), Sb at (0.160, 0.250, 0.666), Te at (0.327, 0.750, 0.273) and Cl at (0.409, 0.750, 0.914).

The raw formation energy is -123 kJ/mol of atoms. The volume is 194 Å³/f.u. Its calculated total energy is -5.18 eV/atom.